Entry 1:
The following is a PBE calculation of a relaxed Nb4InTe8 crystal, from Alexandria.

Unit cell a=7.3820 b=7.3820 c=26.1024 alpha=90.00 beta=90.00 gamma=120.00
With the nearest neighbours (Å) after each atom.
Space group R-3m (No. 166, hexagonal axes)
Unique sites:
Nb 0.0000 0.0000 0.0000 [3 per cell]  6 Te 2.81
Nb 0.0000 0.5000 0.0000 [9 per cell]  6 Te 2.82
In 0.0000 0.0000 0.5000 [3 per cell]  6 Te 3.29
Te 0.0000 0.0000 0.2624 [6 per cell]  3 Nb 2.82
Te 0.0009 0.5004 0.7374 [18 per cell]  3 Nb 2.81-2.82

Output
The mass density is 6.095 Mg/m³. The formation energy (no corrections) is -37.0 kJ per mole of atoms. The calculation puts the density of states at the Fermi level at 24.4 states/eV/cell.



Entry 2:
The following is a PBE calculation of a relaxed NbInTe2 crystal, from Alexandria.

Unit cell a=7.9959 b=7.9959 c=8.6422 alpha=90.00 beta=90.00 gamma=90.00
With the nearest neighbours (Å) after each atom.
Space group I-42d (No. 122)
Unique sites:
Nb 0.0000 0.0000 0.0000 [4 per cell]  4 Te 2.74
In 0.0000 0.0000 0.5000 [4 per cell]  4 Te 3.35
Te 0.1916 0.2500 0.1250 [8 per cell]  2 Nb 2.74

Output
The mass density is 5.565 Mg/m³. The formation energy (no corrections) is 8.8 kJ per mole of atoms. The calculation puts the density of states at the Fermi level at 5.3 states/eV/cell.



Entry 3:
The following is a PBE calculation of a relaxed NbInTe crystal, from Alexandria.

Unit cell a=18.4176 b=5.5516 c=10.9863 alpha=90.00 beta=126.04 gamma=90.00
With the nearest neighbours (Å) after each atom.
Space group Cc (No. 9)
Unique sites:
Nb 0.0000 0.0904 0.0000 [4 per cell]  5 Te 2.81-2.95, 1 Nb 2.82, 1 In 3.02
Nb 0.0566 0.3907 0.8630 [4 per cell]  4 Te 2.81-2.92, 2 Nb 2.82-2.84, 3 In 2.85-3.12
Nb 0.1924 0.1515 0.8618 [4 per cell]  1 Nb 2.84, 3 Te 2.88-3.00, 5 In 2.90-3.03
In 0.1982 0.1382 0.1435 [4 per cell]  4 Nb 2.94-3.03, 1 In 3.04
In 0.2342 0.3436 0.4685 [4 per cell]  3 Nb 2.91-3.12, 1 Te 3.23
In 0.3659 0.1209 0.1513 [4 per cell]  2 Nb 2.85-2.90, 1 In 3.04
Te 0.0253 0.1041 0.2784 [4 per cell]  5 Nb 2.81-3.00
Te 0.0538 0.4042 0.5942 [4 per cell]  5 Nb 2.81-2.95
Te 0.3251 0.3836 0.8245 [4 per cell]  2 Nb 2.85-3.00

Output
The mass density is 7.357 Mg/m³. The formation energy (no corrections) is -3.9 kJ per mole of atoms. The calculation puts the density of states at the Fermi level at 23.9 states/eV/cell.



Entry 4:
The following is a PBE calculation of a relaxed NbInTe3 crystal, from Alexandria.

Unit cell a=5.5629 b=5.5629 c=5.5629 alpha=90.00 beta=90.00 gamma=90.00
With the nearest neighbours (Å) after each atom.
Space group Pm-3m (No. 221)
Unique sites:
Nb 0.0000 0.0000 0.0000 [1 per cell]  12 Te 3.93
In 0.5000 0.5000 0.5000 [1 per cell]  6 Te 2.78
Te 0.0000 0.5000 0.5000 [3 per cell]  2 In 2.78

Output
The mass density is 5.696 Mg/m³. The formation energy (no corrections) is 95.2 kJ per mole of atoms. The calculation puts the density of states at the Fermi level at 3.8 states/eV/cell.



Entry 5:
The following is a PBE calculation of a relaxed TiNbIn2Te crystal, from Alexandria.

Unit cell a=5.2664 b=5.2664 c=5.1395 alpha=90.00 beta=90.00 gamma=90.00
With the nearest neighbours (Å) after each atom.
Space group P4/mmm (No. 123)
Unique sites:
Ti 0.0000 0.0000 0.0000 [1 per cell]  2 Te 2.57, 4 In 2.63
Nb 0.5000 0.5000 0.5000 [1 per cell]  8 In 3.68, 4 Te 3.72
In 0.0000 0.5000 0.0000 [2 per cell]  2 Ti 2.63
Te 0.0000 0.0000 0.5000 [1 per cell]  2 Ti 2.57

Output
The mass density is 5.802 Mg/m³. The formation energy (no corrections) is 81.6 kJ per mole of atoms. The calculation puts the density of states at the Fermi level at 3.6 states/eV/cell.



Entry 6:
The following is a PBE calculation of a relaxed ThNbIn crystal, from Alexandria.

Unit cell a=11.6644 b=4.8949 c=5.4743 alpha=90.00 beta=98.29 gamma=90.00
With the nearest neighbours (Å) after each atom.
Space group C2/m (No. 12)
Unique sites:
Th 0.1232 0.0000 0.3087 [4 per cell]  2 Nb 2.79-3.08
Nb 0.2141 0.0000 0.8650 [4 per cell]  2 Th 2.79-3.08, 2 Nb 2.92, 3 In 2.93-2.94
In 0.0776 0.5000 0.7615 [4 per cell]  3 Nb 2.93-2.94, 1 In 3.16

Output
The mass density is 9.444 Mg/m³. The calculation puts the density of states at the Fermi level at 11.6 states/eV/cell. The formation energy from the elements is 48 meV/atom.



Entry 7:
The following is a PBE calculation of a relaxed Th6NbIn10 crystal, from Alexandria.

Unit cell a=9.3500 b=9.3500 c=6.3279 alpha=90.00 beta=90.00 gamma=120.00
With the nearest neighbours (Å) after each atom.
Space group P-31m (No. 162)
Unique sites:
Th 0.0000 0.3874 0.2250 [6 per cell]  9 In 3.20-3.57, 1 Th 3.54
Nb 0.0000 0.0000 0.0000 [1 per cell]  6 In 2.93
In 0.0000 0.2411 0.7038 [6 per cell]  1 Nb 2.93, 2 Th 3.20
In 0.3333 0.6667 0.0000 [2 per cell]  2 In 3.16, 6 Th 3.23
In 0.3333 0.6667 0.5000 [2 per cell]  2 In 3.16, 6 Th 3.38

Output
The mass density is 9.127 Mg/m³. The calculation puts the density of states at the Fermi level at 14.0 states/eV/cell. The formation energy from the elements is -124 meV/atom.



Entry 8:
The following is a PBE calculation of a relaxed ThNb2In crystal, from Alexandria.

Unit cell a=4.7829 b=4.7829 c=3.8105 alpha=90.00 beta=90.00 gamma=90.00
With the nearest neighbours (Å) after each atom.
Space group P4/mmm (No. 123)
Unique sites:
Th 0.0000 0.0000 0.0000 [1 per cell]  8 Nb 3.06, 4 In 3.38
Nb 0.0000 0.5000 0.5000 [2 per cell]  4 Th 3.06, 4 In 3.06, 4 Nb 3.38
In 0.5000 0.5000 0.0000 [1 per cell]  8 Nb 3.06, 4 Th 3.38

Output
The mass density is 10.147 Mg/m³. The calculation puts the density of states at the Fermi level at 4.0 states/eV/cell. The formation energy from the elements is 110 meV/atom.



Entry 9:
The following is a PBE calculation of a relaxed Ti15Nb2In2 crystal, from Alexandria.

Unit cell a=9.1315 b=9.1315 c=14.4496 alpha=90.00 beta=90.00 gamma=120.00
With the nearest neighbours (Å) after each atom.
Space group R-3m (No. 166, hexagonal axes)
Unique sites:
Ti 0.0000 0.2983 0.0000 [18 per cell]  6 Ti 2.72-2.78, 2 Nb 3.04
Ti 0.0000 0.5000 0.5000 [9 per cell]  8 Ti 2.78-2.79, 2 Nb 2.84
Ti 0.0304 0.5152 0.1391 [18 per cell]  6 Ti 2.52-2.79
Nb 0.0000 0.0000 0.0927 [6 per cell]  1 Nb 2.68, 3 Ti 2.84
In 0.0000 0.0000 0.3104 [6 per cell]  1 Nb 3.15, 15 Ti 3.23-3.36

Output
The mass density is 5.411 Mg/m³. The calculation puts the density of states at the Fermi level at 110.2 states/eV/cell. The formation energy from the elements is 280 meV/atom.



Entry 10:
The following is a PBE calculation of a relaxed Ti3Nb3In crystal, from Alexandria.

Unit cell a=7.3038 b=7.3038 c=17.6152 alpha=90.00 beta=90.00 gamma=120.00
With the nearest neighbours (Å) after each atom.
Space group R-3 (No. 148, hexagonal axes)
Unique sites:
Ti 0.0453 0.5975 0.3757 [18 per cell]  3 Nb 2.70-2.80, 2 Ti 2.87
Nb 0.0002 0.2372 0.4424 [18 per cell]  2 Nb 2.67, 3 Ti 2.70-2.80, 1 In 2.97
In 0.0000 0.0000 0.1557 [6 per cell]  6 Nb 2.97-3.10, 6 Ti 3.05-3.17

Output
The mass density is 6.576 Mg/m³. The calculation puts the density of states at the Fermi level at 54.5 states/eV/cell. The formation energy from the elements is 272 meV/atom.



Entry 11:
The following is a PBE calculation of a relaxed TiNb3In crystal, from Alexandria.

Unit cell a=5.0018 b=5.0018 c=5.0018 alpha=90.00 beta=90.00 gamma=90.00
With the nearest neighbours (Å) after each atom.
Space group Pm-3m (No. 221)
Unique sites:
Ti 0.0000 0.0000 0.0000 [1 per cell]  12 Nb 3.54
Nb 0.0000 0.5000 0.5000 [3 per cell]  2 In 2.50
In 0.5000 0.5000 0.5000 [1 per cell]  6 Nb 2.50

Output
The mass density is 5.857 Mg/m³. The calculation puts the density of states at the Fermi level at 9.2 states/eV/cell. The formation energy from the elements is 1861 meV/atom.



Entry 12:
The following is a PBE calculation of a relaxed Ti3Nb2In2 crystal, from Alexandria.

Unit cell a=10.2280 b=3.6206 c=7.0961 alpha=90.00 beta=97.25 gamma=90.00
With the nearest neighbours (Å) after each atom.
Space group C2/m (No. 12)
Unique sites:
Ti 0.0000 0.0000 0.0000 [2 per cell]  4 Nb 2.87, 4 In 2.89, 2 Ti 3.16
Ti 0.1505 0.0000 0.4173 [4 per cell]  2 Nb 2.82, 3 Ti 2.86-3.16, 5 In 2.95-3.07
Nb 0.2088 0.5000 0.1340 [4 per cell]  4 Ti 2.82-2.87, 2 Nb 2.83, 3 In 2.96-3.13
In 0.0740 0.5000 0.7132 [4 per cell]  7 Ti 2.89-3.07, 4 Nb 2.96-3.21, 1 In 3.21

Output
The mass density is 7.122 Mg/m³. The calculation puts the density of states at the Fermi level at 15.1 states/eV/cell. The formation energy from the elements is -83 meV/atom.



> Among the records above, which one has the highest mass density?

ThNb2In



> Which value of density of states at the Fermi level does entry 3 give?

23.9 states/eV/cell